The following is a DFT calculation (PBE-GGA) of a relaxed ScHgAu2 crystal.

- Formation energy from the elements: -0.270 eV/atom
- DFT total energy: -0.2622 Ry/atom
- Theoretical density: 11.87 g/cm³
- D(E_F): 0.88 states/eV/f.u.
- Total magnetization: 0.000 μB/f.u.

a b c (Å): 7.810 7.810 7.810
angles (deg): 27.47 27.47 27.47
Fractional positions:
Au 0.002 0.002 0.002
Au 0.254 0.254 0.254
Hg 0.501 0.501 0.501
Sc 0.743 0.743 0.743